# ZrTaTc2, optimized geometry, DFT GGA-PBEsol
data_ZrTaTc2
_chemical_formula_sum 'Zr1 Ta1 Tc2'
_cell_length_a 4.5132
_cell_length_b 4.5132
_cell_length_c 4.5132
_cell_angle_alpha 60.00
_cell_angle_beta 60.00
_cell_angle_gamma 60.00
_space_group_name_H-M_alt 'P 1'
_space_group_IT_number 1
_space_group_name_Hall 'P 1'
loop_
_atom_site_label
_atom_site_type_symbol
_atom_site_fract_x
_atom_site_fract_y
_atom_site_fract_z
_atom_site_occupancy
Tc1 Tc 0.2500 0.2500 0.2500 1
Tc2 Tc 0.7500 0.7500 0.7500 1
Zr1 Zr 0.0000 0.0000 0.0000 1
Ta1 Ta 0.5000 0.5000 0.5000 1
# E_form, meV/atom: -422
# Total magnetization, Bohr magnetons per cell: 0.000
# Theoretical density, kg/m³: 11959
# Space-group type: Fm-3m, No. 225

---

# Zr2ScSe, optimized geometry, DFT GGA-PBEsol
data_Zr2ScSe
_chemical_formula_sum 'Zr2 Sc1 Se1'
_cell_length_a 3.6453
_cell_length_b 4.5295
_cell_length_c 4.7171
_cell_angle_alpha 90.00
_cell_angle_beta 90.00
_cell_angle_gamma 90.00
_space_group_name_H-M_alt 'P 1'
_space_group_IT_number 1
_space_group_name_Hall 'P 1'
loop_
_atom_site_label
_atom_site_type_symbol
_atom_site_fract_x
_atom_site_fract_y
_atom_site_fract_z
_atom_site_occupancy
Sc1 Sc 0.5000 0.0000 0.5000 1
Se1 Se 0.0000 0.5000 0.5000 1
Zr1 Zr 0.0000 0.0000 0.0000 1
Zr2 Zr 0.5000 0.5000 0.0000 1
# Total magnetization, Bohr magnetons per cell: 0.000
# Theoretical density, kg/m³: 6532
# Formation energy without anion corrections, eV per atom: -0.443
# Space-group type: Pmmm, No. 47

---

# BaNd2O4, optimized geometry, DFT GGA-PBEsol
data_BaNd2O4
_chemical_formula_sum 'Ba4 Nd8 O16'
_cell_length_a 3.5978
_cell_length_b 10.5374
_cell_length_c 12.4217
_cell_angle_alpha 90.00
_cell_angle_beta 90.00
_cell_angle_gamma 90.00
_space_group_name_H-M_alt 'P 1'
_space_group_IT_number 1
_space_group_name_Hall 'P 1'
loop_
_atom_site_label
_atom_site_type_symbol
_atom_site_fract_x
_atom_site_fract_y
_atom_site_fract_z
_atom_site_occupancy
Ba1 Ba 0.2500 0.7498 0.6478 1
Ba2 Ba 0.7500 0.2502 0.3522 1
Ba3 Ba 0.2500 0.2498 0.8522 1
Ba4 Ba 0.7500 0.7502 0.1478 1
Nd1 Nd 0.7500 0.0743 0.6128 1
Nd2 Nd 0.2500 0.9257 0.3872 1
Nd3 Nd 0.7500 0.5743 0.8872 1
Nd4 Nd 0.2500 0.4257 0.1128 1
Nd5 Nd 0.2500 0.4176 0.6105 1
Nd6 Nd 0.7500 0.5824 0.3895 1
Nd7 Nd 0.2500 0.9176 0.8895 1
Nd8 Nd 0.7500 0.0824 0.1105 1
O1 O 0.7500 0.0689 0.9226 1
O2 O 0.2500 0.9311 0.0774 1
O3 O 0.7500 0.5689 0.5774 1
O4 O 0.2500 0.4311 0.4226 1
O5 O 0.7500 0.9868 0.2819 1
O6 O 0.2500 0.0132 0.7181 1
O7 O 0.7500 0.4868 0.2181 1
O8 O 0.2500 0.5132 0.7819 1
O9 O 0.7500 0.3760 0.9831 1
O10 O 0.2500 0.6240 0.0169 1
O11 O 0.7500 0.8760 0.5169 1
O12 O 0.2500 0.1240 0.4831 1
O13 O 0.2500 0.2132 0.1719 1
O14 O 0.7500 0.7868 0.8281 1
O15 O 0.2500 0.7132 0.3281 1
O16 O 0.7500 0.2868 0.6719 1
# Total magnetization, Bohr magnetons per cell: 0.000
# Theoretical density, kg/m³: 6909
# Formation energy without anion corrections, eV per atom: -3.147
# Space-group type: Pnma, No. 62

---

# Nd8Ga3Co, optimized geometry, DFT GGA-PBEsol
data_Nd8Ga3Co
_chemical_formula_sum 'Nd16 Ga6 Co2'
_cell_length_a 6.7925
_cell_length_b 10.3144
_cell_length_c 10.3144
_cell_angle_alpha 120.00
_cell_angle_beta 90.00
_cell_angle_gamma 90.00
_space_group_name_H-M_alt 'P 1'
_space_group_IT_number 1
_space_group_name_Hall 'P 1'
loop_
_atom_site_label
_atom_site_type_symbol
_atom_site_fract_x
_atom_site_fract_y
_atom_site_fract_z
_atom_site_occupancy
Nd1 Nd 0.0038 0.3412 0.1706 1
Nd2 Nd 0.0038 0.8294 0.6588 1
Nd3 Nd 0.0038 0.8294 0.1706 1
Nd4 Nd 0.5038 0.6588 0.8294 1
Nd5 Nd 0.5038 0.1706 0.3412 1
Nd6 Nd 0.5038 0.1706 0.8294 1
Nd7 Nd 0.3267 0.6667 0.3333 1
Nd8 Nd 0.8267 0.3333 0.6667 1
Nd9 Nd 0.7114 0.9271 0.4635 1
Nd10 Nd 0.7114 0.5365 0.0729 1
Nd11 Nd 0.7114 0.5365 0.4635 1
Nd12 Nd 0.2114 0.0729 0.5365 1
Nd13 Nd 0.2114 0.4635 0.9271 1
Nd14 Nd 0.2114 0.4635 0.5365 1
Nd15 Nd 0.7204 0.0000 0.0000 1
Nd16 Nd 0.2204 0.0000 0.0000 1
Ga1 Ga 0.4679 0.3293 0.1647 1
Ga2 Ga 0.4679 0.8353 0.6707 1
Ga3 Ga 0.4679 0.8353 0.1647 1
Ga4 Ga 0.9679 0.6707 0.8353 1
Ga5 Ga 0.9679 0.1647 0.3293 1
Ga6 Ga 0.9679 0.1647 0.8353 1
Co1 Co 0.9403 0.6667 0.3333 1
Co2 Co 0.4403 0.3333 0.6667 1
# E_form, meV/atom: -344
# Total magnetization, Bohr magnetons per cell: 0.000
# Theoretical density, kg/m³: 7546
# Space-group type: P6_3mc, No. 186

---

# NiCl2F, optimized geometry, DFT GGA-PBEsol
data_NiCl2F
_chemical_formula_sum 'Ni1 Cl2 F1'
_cell_length_a 3.3408
_cell_length_b 3.3408
_cell_length_c 7.7439
_cell_angle_alpha 77.54
_cell_angle_beta 77.54
_cell_angle_gamma 60.00
_space_group_name_H-M_alt 'P 1'
_space_group_IT_number 1
_space_group_name_Hall 'P 1'
loop_
_atom_site_label
_atom_site_type_symbol
_atom_site_fract_x
_atom_site_fract_y
_atom_site_fract_z
_atom_site_occupancy
Ni1 Ni 0.0000 0.0000 0.0000 1
F1 F 0.5000 0.5000 0.5000 1
Cl1 Cl 0.9112 0.9112 0.2664 1
Cl2 Cl 0.0888 0.0888 0.7336 1
# Total magnetization, Bohr magnetons per cell: 2.164
# Theoretical density, kg/m³: 3404
# Formation energy without anion corrections, eV per atom: 0.106
# Space-group type: R-3m, No. 166

---

# Er2CrSbO7, optimized geometry, DFT GGA-PBEsol
data_Er2CrSbO7
_chemical_formula_sum 'Er4 Cr2 Sb2 O14'
_cell_length_a 7.1063
_cell_length_b 7.1304
_cell_length_c 7.1304
_cell_angle_alpha 60.59
_cell_angle_beta 60.11
_cell_angle_gamma 60.11
_space_group_name_H-M_alt 'P 1'
_space_group_IT_number 1
_space_group_name_Hall 'P 1'
loop_
_atom_site_label
_atom_site_type_symbol
_atom_site_fract_x
_atom_site_fract_y
_atom_site_fract_z
_atom_site_occupancy
Er1 Er 0.5000 0.5000 0.0000 1
Er2 Er 0.0000 0.5000 0.0000 1
Er3 Er 0.0000 0.5000 0.5000 1
Er4 Er 0.0000 0.0000 0.0000 1
Cr1 Cr 0.0000 0.0000 0.5000 1
Cr2 Cr 0.5000 0.0000 0.5000 1
Sb1 Sb 0.5000 0.0000 0.0000 1
Sb2 Sb 0.5000 0.5000 0.5000 1
O1 O 0.1270 0.6230 0.1230 1
O2 O 0.8730 0.3770 0.8770 1
O3 O 0.8393 0.9107 0.4107 1
O4 O 0.4141 0.3359 0.8359 1
O5 O 0.8360 0.9107 0.8356 1
O6 O 0.4177 0.3356 0.4107 1
O7 O 0.4177 0.9107 0.8356 1
O8 O 0.8360 0.3356 0.4107 1
O9 O 0.1607 0.0893 0.5893 1
O10 O 0.5859 0.6641 0.1641 1
O11 O 0.1640 0.0893 0.1644 1
O12 O 0.5823 0.6644 0.5893 1
O13 O 0.5823 0.0893 0.1644 1
O14 O 0.1640 0.6644 0.5893 1
# Total magnetization, Bohr magnetons per cell: 6.000
# Theoretical density, kg/m³: 8014
# Formation energy without anion corrections, eV per atom: -2.645
# Space-group type: Imma, No. 74

---

# BeTe2Pt, optimized geometry, DFT GGA-PBEsol
data_BeTe2Pt
_chemical_formula_sum 'Be1 Te2 Pt1'
_cell_length_a 3.2637
_cell_length_b 3.2637
_cell_length_c 7.0854
_cell_angle_alpha 90.00
_cell_angle_beta 90.00
_cell_angle_gamma 90.00
_space_group_name_H-M_alt 'P 1'
_space_group_IT_number 1
_space_group_name_Hall 'P 1'
loop_
_atom_site_label
_atom_site_type_symbol
_atom_site_fract_x
_atom_site_fract_y
_atom_site_fract_z
_atom_site_occupancy
Be1 Be 0.5000 0.5000 0.0000 1
Te1 Te 0.0000 0.0000 0.7600 1
Te2 Te 0.0000 0.0000 0.2400 1
Pt1 Pt 0.5000 0.5000 0.5000 1
# Total magnetization, Bohr magnetons per cell: 0.000
# Theoretical density, kg/m³: 10105
# Formation energy without anion corrections, eV per atom: 0.476
# Space-group type: P4/mmm, No. 123

---

# Ca2BeSb, optimized geometry, DFT GGA-PBEsol
data_Ca2BeSb
_chemical_formula_sum 'Ca2 Be1 Sb1'
_cell_length_a 4.1102
_cell_length_b 4.4243
_cell_length_c 6.0402
_cell_angle_alpha 111.48
_cell_angle_beta 90.00
_cell_angle_gamma 90.00
_space_group_name_H-M_alt 'P 1'
_space_group_IT_number 1
_space_group_name_Hall 'P 1'
loop_
_atom_site_label
_atom_site_type_symbol
_atom_site_fract_x
_atom_site_fract_y
_atom_site_fract_z
_atom_site_occupancy
Sb1 Sb 0.0000 0.8171 0.6342 1
Ca1 Ca 0.0000 0.1102 0.2203 1
Ca2 Ca 0.5000 0.3990 0.7979 1
Be1 Be 0.5000 0.6844 0.3688 1
# Total magnetization, Bohr magnetons per cell: 0.000
# Theoretical density, kg/m³: 3427
# Formation energy without anion corrections, eV per atom: -0.435
# Space-group type: Amm2, No. 38

---

# ZrCuPdW2, optimized geometry, DFT GGA-PBEsol
data_ZrCuPdW2
_chemical_formula_sum 'Zr1 Cu1 Pd1 W2'
_cell_length_a 4.5997
_cell_length_b 4.6715
_cell_length_c 4.6715
_cell_angle_alpha 90.00
_cell_angle_beta 90.00
_cell_angle_gamma 90.00
_space_group_name_H-M_alt 'P 1'
_space_group_IT_number 1
_space_group_name_Hall 'P 1'
loop_
_atom_site_label
_atom_site_type_symbol
_atom_site_fract_x
_atom_site_fract_y
_atom_site_fract_z
_atom_site_occupancy
Zr1 Zr 0.0000 0.0000 0.0000 1
Cu1 Cu 0.5000 0.0000 0.0000 1
Pd1 Pd 0.5000 0.5000 0.5000 1
W1 W 0.0000 0.0000 0.5000 1
W2 W 0.0000 0.5000 0.0000 1
# E_form, meV/atom: 2326
# Total magnetization, Bohr magnetons per cell: 0.000
# Theoretical density, kg/m³: 10403
# Space-group type: P4/mmm, No. 123

---

# Na3SrPt, optimized geometry, DFT GGA-PBEsol
data_Na3SrPt
_chemical_formula_sum 'Na3 Sr1 Pt1'
_cell_length_a 5.4647
_cell_length_b 5.4647
_cell_length_c 5.4647
_cell_angle_alpha 90.00
_cell_angle_beta 90.00
_cell_angle_gamma 90.00
_space_group_name_H-M_alt 'P 1'
_space_group_IT_number 1
_space_group_name_Hall 'P 1'
loop_
_atom_site_label
_atom_site_type_symbol
_atom_site_fract_x
_atom_site_fract_y
_atom_site_fract_z
_atom_site_occupancy
Sr1 Sr 0.5000 0.5000 0.5000 1
Pt1 Pt 0.0000 0.0000 0.0000 1
Na1 Na 0.0000 0.5000 0.0000 1
Na2 Na 0.0000 0.0000 0.5000 1
Na3 Na 0.5000 0.0000 0.0000 1
# E_form, meV/atom: 153
# Total magnetization, Bohr magnetons per cell: 0.000
# Theoretical density, kg/m³: 3578
# Space-group type: Pm-3m, No. 221

---

# GaAgGeRh2, optimized geometry, DFT GGA-PBEsol
data_GaAgGeRh2
_chemical_formula_sum 'Ga1 Ag1 Ge1 Rh2'
_cell_length_a 4.4862
_cell_length_b 4.8114
_cell_length_c 4.8114
_cell_angle_alpha 90.00
_cell_angle_beta 90.00
_cell_angle_gamma 90.00
_space_group_name_H-M_alt 'P 1'
_space_group_IT_number 1
_space_group_name_Hall 'P 1'
loop_
_atom_site_label
_atom_site_type_symbol
_atom_site_fract_x
_atom_site_fract_y
_atom_site_fract_z
_atom_site_occupancy
Ge1 Ge 0.5000 0.5000 0.5000 1
Rh1 Rh 0.0000 0.0000 0.5000 1
Rh2 Rh 0.0000 0.5000 0.0000 1
Ga1 Ga 0.5000 0.0000 0.0000 1
Ag1 Ag 0.0000 0.0000 0.0000 1
# E_form, meV/atom: 1314
# Total magnetization, Bohr magnetons per cell: 0.001
# Theoretical density, kg/m³: 7292
# Space-group type: P4/mmm, No. 123

---

# TaPt2, optimized geometry, DFT GGA-PBEsol
data_TaPt2
_chemical_formula_sum 'Ta2 Pt4'
_cell_length_a 4.7185
_cell_length_b 4.7940
_cell_length_c 4.8313
_cell_angle_alpha 119.75
_cell_angle_beta 90.00
_cell_angle_gamma 90.00
_space_group_name_H-M_alt 'P 1'
_space_group_IT_number 1
_space_group_name_Hall 'P 1'
loop_
_atom_site_label
_atom_site_type_symbol
_atom_site_fract_x
_atom_site_fract_y
_atom_site_fract_z
_atom_site_occupancy
Pt1 Pt 0.2500 0.4512 0.3256 1
Pt2 Pt 0.7500 0.8743 0.3256 1
Pt3 Pt 0.7500 0.5488 0.6744 1
Pt4 Pt 0.2500 0.1257 0.6744 1
Ta1 Ta 0.2500 0.7755 0.0000 1
Ta2 Ta 0.7500 0.2245 0.0000 1
# E_form, meV/atom: -756
# Total magnetization, Bohr magnetons per cell: 0.000
# Theoretical density, kg/m³: 19989
# Space-group type: Cmcm, No. 63